(1)
The following is a GGA-PBE calculation of an optimized crystal structure of AgOs, from Alexandria.

Results
Its formation energy is 546 kJ/mol of formula units.

a = 7.315 Å, b = 7.315 Å, c = 7.315 Å
α = 90.00°, β = 90.00°, γ = 90.00°
Each line ends with the local moment (μB).
Element x y z (fractional)
Os  0.500  0.750  0.000  2.34
Os  0.000  0.500  0.250  2.34
Ag  0.000  0.250  0.500  0.21
Ag  0.000  0.750  0.500  0.21
Ag  0.250  0.500  0.000  0.21
Ag  0.750  0.500  0.000  0.21
Os  0.000  0.500  0.750  2.34
Os  0.250  0.000  0.500  2.34
Os  0.500  0.250  0.000  2.34
Os  0.750  0.000  0.500  2.34
Ag  0.500  0.000  0.750  0.21
Ag  0.500  0.000  0.250  0.21


(2)
The following is a GGA-PBE calculation of an optimized crystal structure of Ag2Os, from Alexandria.

Results
Its formation energy is 168 kJ/mol of formula units.

a = 5.616 Å, b = 5.616 Å, c = 6.839 Å
α = 75.83°, β = 75.83°, γ = 28.69°
Each line ends with the local moment (μB).
Element x y z (fractional)
Ag  0.985  0.985  0.307  0.01
Ag  0.642  0.642  0.967  0.01
Ag  0.015  0.015  0.693  0.01
Ag  0.358  0.358  0.033  0.01
Os  0.709  0.709  0.377  0.22
Os  0.291  0.291  0.623  0.22


(3)
The following is a GGA-PBE calculation of an optimized crystal structure of AgOs, from Alexandria.

Results
Its formation energy is 62 kJ/mol of formula units.

a = 2.786 Å, b = 2.786 Å, c = 28.518 Å
α = 90.00°, β = 90.00°, γ = 120.00°
Element x y z (fractional)
Os  0.667  0.333  0.131
Ag  0.000  0.000  0.623
Os  0.333  0.667  0.869
Ag  0.333  0.667  0.289
Os  0.000  0.000  0.798
Ag  0.333  0.667  0.044
Os  0.333  0.667  0.465
Os  0.000  0.000  0.202
Ag  0.000  0.000  0.377
Ag  0.667  0.333  0.711
Os  0.667  0.333  0.535
Ag  0.667  0.333  0.956


(4)
The following is a GGA-PBE calculation of an optimized crystal structure of AgOs2, from Alexandria.

Results
Its formation energy is 341 kJ/mol of formula units.

a = 4.468 Å, b = 4.468 Å, c = 5.337 Å
α = 90.00°, β = 90.00°, γ = 120.00°
Element x y z (fractional)
Os  0.000  0.000  0.000
Os  0.000  0.000  0.500
Ag  0.333  0.667  0.250
Os  0.333  0.667  0.750
Ag  0.667  0.333  0.750
Os  0.667  0.333  0.250


(5)
The following is a GGA-PBE calculation of an optimized crystal structure of AgOs, from Alexandria.

Results
Its formation energy is 141 kJ/mol of formula units.

a = 2.732 Å, b = 2.732 Å, c = 4.901 Å
α = 90.00°, β = 90.00°, γ = 120.00°
Element x y z (fractional)
Os  0.333  0.667  0.500
Ag  0.000  0.000  0.000


(6)
The following is a GGA-PBE calculation of an optimized crystal structure of AgPOs, from Alexandria.

Results
Its formation energy is 61 kJ/mol of formula units.

a = 3.938 Å, b = 3.938 Å, c = 3.579 Å
α = 90.00°, β = 90.00°, γ = 120.00°
Element x y z (fractional)
Ag  0.000  0.000  0.000
Os  0.667  0.333  0.500
P  0.333  0.667  0.500


(7)
The following is a GGA-PBE calculation of an optimized crystal structure of AgPOs, from Alexandria.

Results
Its formation energy is 41 kJ/mol of formula units.

a = 5.598 Å, b = 5.598 Å, c = 5.598 Å
α = 148.91°, β = 148.91°, γ = 44.54°
Element x y z (fractional)
Ag  0.005  0.005  0.000
P  0.697  0.697  0.000
Os  0.299  0.299  0.000


(8)
The following is a GGA-PBE calculation of an optimized crystal structure of AgP2Os, from Alexandria.

Results
Its formation energy is 227 kJ/mol of formula units.

a = 4.414 Å, b = 4.414 Å, c = 3.018 Å
α = 90.01°, β = 90.01°, γ = 90.05°
Element x y z (fractional)
P  0.000  0.000  0.000
Ag  0.500  0.000  0.500
Os  0.000  0.500  0.500
P  0.500  0.500  0.000


(9)
The following is a GGA-PBE calculation of an optimized crystal structure of AgP2Os, from Alexandria.

Results
Its formation energy is 141 kJ/mol of formula units.

a = 7.770 Å, b = 7.770 Å, c = 7.770 Å
α = 22.51°, β = 22.51°, γ = 22.51°
Element x y z (fractional)
Os  0.734  0.734  0.734
Ag  0.506  0.506  0.506
P  0.999  0.999  0.999
P  0.261  0.261  0.261


(10)
The following is a GGA-PBE calculation of an optimized crystal structure of AgP2Os, from Alexandria.

Results
Its formation energy is 18 kJ/mol of formula units.

a = 4.211 Å, b = 4.211 Å, c = 5.999 Å
α = 94.92°, β = 94.92°, γ = 41.23°
Element x y z (fractional)
Os  0.711  0.711  0.941
Ag  0.546  0.546  0.476
P  0.257  0.257  0.243
P  0.987  0.987  0.840


(11)
The following is a GGA-PBE calculation of an optimized crystal structure of AgPOs, from Alexandria.

Results
Its formation energy is 131 kJ/mol of formula units.

a = 7.372 Å, b = 7.126 Å, c = 2.840 Å
α = 83.61°, β = 73.88°, γ = 22.51°
Element x y z (fractional)
Os  0.315  0.315  0.685
Ag  0.992  0.992  0.008
P  0.693  0.693  0.307


(12)
The following is a GGA-PBE calculation of an optimized crystal structure of AgP2Os, from Alexandria.

Results
Its formation energy is 176 kJ/mol of formula units.

a = 4.195 Å, b = 2.694 Å, c = 6.399 Å
α = 114.44°, β = 90.00°, γ = 90.00°
Element x y z (fractional)
Ag  0.500  0.250  0.250
P  0.000  0.953  0.955
P  0.000  0.547  0.545
Os  0.500  0.750  0.750


(13)
The following is a GGA-PBE calculation of an optimized crystal structure of AgPOs3, from Alexandria.

Results
Its formation energy is 493 kJ/mol of formula units.

a = 4.377 Å, b = 4.377 Å, c = 4.377 Å
α = 90.00°, β = 90.00°, γ = 90.00°
Each line ends with the local moment (μB).
Element x y z (fractional)
Os  0.500  0.000  0.000  0.63
Os  0.000  0.000  0.500  0.38
Ag  0.500  0.500  0.500  0.10
P  0.000  0.000  0.000  -0.01
Os  0.000  0.500  0.000  0.51


(14)
The following is a GGA-PBE calculation of an optimized crystal structure of AgPOs, from Alexandria.

Results
Its formation energy is 120 kJ/mol of formula units.

a = 4.062 Å, b = 4.062 Å, c = 4.062 Å
α = 60.00°, β = 60.00°, γ = 60.00°
Element x y z (fractional)
P  0.750  0.750  0.750
Ag  0.000  0.000  0.000
Os  0.500  0.500  0.500


(15)
The following is a GGA-PBE calculation of an optimized crystal structure of AgP2Os, from Alexandria.

Results
Its formation energy is 265 kJ/mol of formula units.

a = 5.047 Å, b = 5.047 Å, c = 5.047 Å
α = 136.93°, β = 136.93°, γ = 62.55°
Element x y z (fractional)
P  0.000  0.000  0.000
P  0.250  0.750  0.500
Os  0.750  0.250  0.500
Ag  0.500  0.500  0.000


(16)
The following is a GGA-PBE calculation of an optimized crystal structure of AgP2Os, from Alexandria.

Results
Its formation energy is 212 kJ/mol of formula units.

a = 2.784 Å, b = 2.784 Å, c = 9.592 Å
α = 90.00°, β = 90.00°, γ = 117.17°
Element x y z (fractional)
P  0.000  0.000  0.956
Os  0.500  0.500  0.768
P  0.500  0.500  0.270
Ag  0.000  0.000  0.505


(17)
The following is a GGA-PBE calculation of an optimized crystal structure of AgP2Os, from Alexandria.

Results
Its formation energy is 194 kJ/mol of formula units.

a = 3.026 Å, b = 5.699 Å, c = 5.169 Å
α = 43.14°, β = 90.00°, γ = 90.00°
Element x y z (fractional)
P  0.500  0.500  0.000
Ag  0.500  0.500  0.500
P  0.000  0.000  0.000
Os  0.000  0.000  0.500


(18)
The following is a GGA-PBE calculation of an optimized crystal structure of AgP2Os, from Alexandria.

Results
Its formation energy is 376 kJ/mol of formula units.

a = 4.408 Å, b = 4.408 Å, c = 4.408 Å
α = 60.00°, β = 60.00°, γ = 60.00°
Element x y z (fractional)
Ag  0.500  0.500  0.500
P  0.250  0.250  0.250
P  0.000  0.000  0.000
Os  0.750  0.750  0.750


(19)
The following is a GGA-PBE calculation of an optimized crystal structure of AgP2Os, from Alexandria.

Results
Its formation energy is 180 kJ/mol of formula units.

a = 2.885 Å, b = 2.885 Å, c = 8.904 Å
α = 90.00°, β = 90.00°, γ = 120.63°
Element x y z (fractional)
P  0.000  0.000  0.531
Os  0.500  0.500  0.750
P  0.000  0.000  0.969
Ag  0.500  0.500  0.250


(20)
The following is a GGA-PBE calculation of an optimized crystal structure of AgP2Os, from Alexandria.

Results
Its formation energy is 110 kJ/mol of formula units.

a = 4.795 Å, b = 3.089 Å, c = 4.361 Å
α = 77.55°, β = 90.00°, γ = 90.00°
Element x y z (fractional)
P  0.000  0.822  0.960
P  0.500  0.322  0.232
Os  0.500  0.968  0.819
Ag  0.000  0.388  0.489


no.,magnetic moment (μB/f.u.),offset from the most stable computed form (meV/atom)
1,2.75,2512
2,0.26,130
3,0.00,3
4,0.00,788
5,0.00,413
6,0.00,66
7,0.00,0
8,0.00,542
9,0.00,319
10,0.00,0
11,0.00,309
12,0.00,411
13,1.64,0
14,0.00,272
15,0.00,641
16,0.00,502
17,0.00,458
18,0.00,929
19,0.00,421
20,0.00,240